# 1
A plane-wave DFT calculation with PBE was carried out for a geometry-optimized Ac5Si3Pb3 structure.

As for the calculated density: 7.7 Mg/m³. The value obtained for the total energy is -49.8 eV for the cell shown.

It has space group P-62m (No. 189), with a = 10.2483 Å, b = 10.2483 Å, c = 4.3887 Å, α = 90.00°, β = 90.00° and γ = 120.00°. The asymmetric unit holds Ac at (0.0000, 0.2285, 0.0000), Ac at (0.3333, 0.6667, 0.0000), Si at (0.0000, 0.6426, 0.0000) and Pb at (0.0000, 0.4793, 0.5000).

=====

# 2
A plane-wave DFT calculation with PBE was carried out for a geometry-optimized Ac12Si5Pb structure.

As for the calculated density: 8.1 Mg/m³. The value obtained for the total energy is -174.7 eV for the cell shown.

It has space group Immm (No. 71), with a = 10.510 Å, b = 10.663 Å, c = 11.231 Å, α = 90.00°, β = 90.00° and γ = 90.00°. The asymmetric unit holds Ac at (0.000, 0.198, 0.228), Ac at (0.204, 0.500, 0.181), Ac at (0.229, 0.321, 0.500), Si at (0.000, 0.000, 0.000), Si at (0.000, 0.383, 0.000), Si at (0.000, 0.500, 0.392) and Pb at (0.000, 0.000, 0.500).

=====

# 3
A plane-wave DFT calculation with PBE was carried out for a geometry-optimized Ac4Si2Pb structure.

As for the calculated density: 7.3 Mg/m³. The value obtained for the total energy is -137.0 eV for the cell shown.

It has space group Cmcm (No. 63), with a = 4.626 Å, b = 15.082 Å, c = 15.274 Å, α = 90.00°, β = 90.00° and γ = 90.00°. The asymmetric unit holds Ac at (0.000, 0.000, 0.000), Ac at (0.000, 0.271, 0.114), Ac at (0.000, 0.454, 0.750), Si at (0.000, 0.367, 0.565) and Pb at (0.000, 0.117, 0.750).

=====

# 4
A plane-wave DFT calculation with PBE was carried out for a geometry-optimized Ac5Si2Pb structure.

As for the calculated density: 8.3 Mg/m³. The value obtained for the total energy is -155.8 eV for the cell shown.

It has space group I4/mcm (No. 140), with a = 8.659 Å, b = 8.659 Å, c = 14.929 Å, α = 90.00°, β = 90.00° and γ = 90.00°. The asymmetric unit holds Ac at (0.000, 0.000, 0.000), Ac at (0.158, 0.342, 0.137), Si at (0.145, 0.355, 0.500) and Pb at (0.000, 0.000, 0.250).

=====

# 5
A plane-wave DFT calculation with PBE was carried out for a geometry-optimized Ac12SiPb6 structure.

As for the calculated density: 8.0 Mg/m³. The value obtained for the total energy is -247.4 eV for the cell shown.

It has space group R-3 (No. 148, hexagonal axes), with a = 14.5221 Å, b = 14.5221 Å, c = 13.6816 Å, α = 90.00°, β = 90.00° and γ = 120.00°. The asymmetric unit holds Ac at (0.0331, 0.2000, 0.3910), Ac at (0.0562, 0.1994, 0.8780), Si at (0.0000, 0.0000, 0.0000) and Pb at (0.0497, 0.2818, 0.6448).

=====

# 6
A plane-wave DFT calculation with PBE was carried out for a geometry-optimized Ac12Si6Pb structure.

As for the calculated density: 7.8 Mg/m³. The value obtained for the total energy is -188.3 eV for the cell shown.

It has space group Im-3 (No. 204), with a = 10.972 Å, b = 10.972 Å, c = 10.972 Å, α = 90.00°, β = 90.00° and γ = 90.00°. The asymmetric unit holds Ac at (0.000, 0.300, 0.190), Si at (0.000, 0.109, 0.500) and Pb at (0.000, 0.000, 0.000).